Compound: CdIrRh2
Source: Alexandria
Functional: PBE
Structure: optimized geometry

CIF file:
```
data_CdIrRh2
_cell_length_a 2.8041
_cell_length_b 3.8222
_cell_length_c 5.8247
_cell_angle_alpha 90.00
_cell_angle_beta 90.00
_cell_angle_gamma 90.00
_space_group_name_H-M_alt 'P m m m'
_space_group_IT_number 47
loop_
_space_group_symop_operation_xyz
'x,y,z'
'-x,-y,-z'
'-x,-y,z'
'x,y,-z'
'x,-y,-z'
'-x,y,z'
'-x,y,-z'
'x,-y,z'
loop_
_atom_site_label
_atom_site_fract_x
_atom_site_fract_y
_atom_site_fract_z
Cd1 0.0000 0.0000 0.0000
Ir1 0.0000 0.0000 0.5000
Rh1 0.5000 0.5000 0.2730
```

Calculated values
DFT total energy in eV/atom: -6.068
E_form in kJ/mol of formula units: 20
DOS at the Fermi energy in states/eV/f.u.: 4.128